1.
Below is crystalline SmGdCu4 at its relaxed geometry, with properties calculated at the PBE level.

Calculated values
**Total moment**: 7.117 μB/f.u.
**Mass density**: 8.81 g/cm³
**N(E_F)**: 0.671 states/eV/atom
**DFT total energy**: -5.99 eV per atom
**E_form**: -0.13 eV per atom

a b c (Å): 5.3096 5.3096 5.3096
angles (deg): 60.00 60.00 60.00
Fractional coordinates of all 6 atoms:
Sm (0.0000, 0.0000, 0.0000)
Gd (0.7500, 0.7500, 0.7500)
Cu (0.3752, 0.3752, 0.3752)
Cu (0.3752, 0.3752, 0.8743)
Cu (0.3752, 0.8743, 0.3752)
Cu (0.8743, 0.3752, 0.3752)

=====

2.
Below is crystalline SmGd3Cu at its relaxed geometry, with properties calculated at the PBE level.

Calculated values
**Total moment**: 21.921 μB/f.u.
**Mass density**: 7.03 g/cm³
**N(E_F)**: 1.783 states/eV/atom
**DFT total energy**: -10.08 eV per atom
**E_form**: 0.13 eV per atom

a b c (Å): 5.4501 5.4501 5.4501
angles (deg): 90.00 90.00 90.00
Fractional coordinates of all 5 atoms:
Sm (0.0000, 0.0000, 0.0000)
Gd (0.0000, 0.5000, 0.5000)
Gd (0.5000, 0.0000, 0.5000)
Gd (0.5000, 0.5000, 0.0000)
Cu (0.5000, 0.5000, 0.5000)

=====

3.
Below is crystalline SmGdCu at its relaxed geometry, with properties calculated at the PBE level.

Calculated values
**Total moment**: 7.336 μB/f.u.
**Mass density**: 7.55 g/cm³
**N(E_F)**: 1.086 states/eV/atom
**DFT total energy**: -7.58 eV per atom
**Energy above the most stable polymorph in this dataset**: 162 meV per atom
**E_form**: 0.06 eV per atom

a b c (Å): 3.6461 3.6461 7.0930
angles (deg): 90.00 90.00 120.00
Fractional coordinates of all 3 atoms:
Sm (0.0000, 0.0000, 0.0000)
Gd (0.3333, 0.6667, 0.5756)
Cu (0.6667, 0.3333, 0.2911)

=====

4.
Below is crystalline SmGdCu at its relaxed geometry, with properties calculated at the PBE level.

Calculated values
**Total moment**: 8.011 μB/f.u.
**Mass density**: 7.34 g/cm³
**N(E_F)**: 1.857 states/eV/atom
**DFT total energy**: -7.56 eV per atom
**Energy above the most stable polymorph in this dataset**: 182 meV per atom
**E_form**: 0.08 eV per atom

a b c (Å): 4.9143 4.9143 4.9143
angles (deg): 60.00 60.00 60.00
Fractional coordinates of all 3 atoms:
Sm (0.0000, 0.0000, 0.0000)
Gd (0.5000, 0.5000, 0.5000)
Cu (0.2500, 0.2500, 0.2500)

=====

5.
Below is crystalline SmGdCu2 at its relaxed geometry, with properties calculated at the PBE level.

Calculated values
**Total moment**: 7.134 μB/f.u.
**Mass density**: 8.23 g/cm³
**N(E_F)**: 0.690 states/eV/atom
**DFT total energy**: -6.95 eV per atom
**Energy above the most stable polymorph in this dataset**: 0 meV per atom
**E_form**: -0.20 eV per atom

a b c (Å): 4.9977 4.9977 3.5136
angles (deg): 90.00 90.00 90.00
Fractional coordinates of all 4 atoms:
Sm (0.0000, 0.0000, 0.0000)
Gd (0.5000, 0.5000, 0.0000)
Cu (0.0000, 0.5000, 0.5000)
Cu (0.5000, 0.0000, 0.5000)

=====

6.
Below is crystalline SmGdCu2 at its relaxed geometry, with properties calculated at the PBE level.

Calculated values
**Total moment**: 7.238 μB/f.u.
**Mass density**: 8.21 g/cm³
**N(E_F)**: 0.871 states/eV/atom
**DFT total energy**: -6.94 eV per atom
**Energy above the most stable polymorph in this dataset**: 6 meV per atom
**E_form**: -0.19 eV per atom

a b c (Å): 4.9919 4.9919 4.9919
angles (deg): 60.00 60.00 60.00
Fractional coordinates of all 4 atoms:
Sm (0.0000, 0.0000, 0.0000)
Gd (0.5000, 0.5000, 0.5000)
Cu (0.2500, 0.2500, 0.2500)
Cu (0.7500, 0.7500, 0.7500)

=====

7.
Below is crystalline GdCuSn at its relaxed geometry, with properties calculated at the PBE level.

Calculated values
**Total moment**: 7.148 μB/f.u.
**Mass density**: 8.48 g/cm³
**N(E_F)**: 0.451 states/eV/atom
**DFT total energy**: -8.00 eV per atom
**E_form**: -0.60 eV per atom

a b c (Å): 4.5733 4.5733 7.3438
angles (deg): 90.00 90.00 120.00
Fractional coordinates of all 6 atoms:
Gd (0.0000, 0.0000, 0.0000)
Gd (0.0000, 0.0000, 0.5000)
Cu (0.3333, 0.6667, 0.3134)
Cu (0.6667, 0.3333, 0.8134)
Sn (0.3333, 0.6667, 0.7317)
Sn (0.6667, 0.3333, 0.2317)

=====

8.
Below is crystalline GdCuSn at its relaxed geometry, with properties calculated at the PBE level.

Calculated values
**Total moment**: 7.160 μB/f.u.
**Mass density**: 8.35 g/cm³
**N(E_F)**: 0.626 states/eV/atom
**DFT total energy**: -7.93 eV per atom
**E_form**: -0.53 eV per atom

a b c (Å): 4.5408 4.5408 3.7805
angles (deg): 90.00 90.00 120.00
Fractional coordinates of all 3 atoms:
Gd (0.0000, 0.0000, 0.0000)
Cu (0.3333, 0.6667, 0.5000)
Sn (0.6667, 0.3333, 0.5000)

=====

9.
Below is crystalline GdCuSn at its relaxed geometry, with properties calculated at the PBE level.

Calculated values
**Total moment**: 7.297 μB/f.u.
**Mass density**: 8.49 g/cm³
**N(E_F)**: 0.529 states/eV/atom
**DFT total energy**: -7.69 eV per atom
**E_form**: -0.29 eV per atom

a b c (Å): 6.1932 6.1932 6.1932
angles (deg): 148.02 148.02 45.85
Fractional coordinates of all 3 atoms:
Gd (0.0000, 0.0000, 0.0000)
Cu (0.3399, 0.3399, 0.0000)
Sn (0.7063, 0.7063, 0.0000)

=====

10.
Below is crystalline TbGdCuSn at its relaxed geometry, with properties calculated at the PBE level.

Calculated values
**Total moment**: 7.793 μB/f.u.
**Mass density**: 8.44 g/cm³
**N(E_F)**: 0.878 states/eV/atom
**DFT total energy**: -7.15 eV per atom
**E_form**: -0.45 eV per atom

a b c (Å): 5.1770 5.1770 5.1770
angles (deg): 60.00 60.00 60.00
Fractional coordinates of all 4 atoms:
Tb (0.0000, 0.0000, 0.0000)
Gd (0.5000, 0.5000, 0.5000)
Cu (0.2500, 0.2500, 0.2500)
Sn (0.7500, 0.7500, 0.7500)

=====

11.
Below is crystalline SrGd2Cu at its relaxed geometry, with properties calculated at the PBE level.

Calculated values
**Total moment**: 15.031 μB/f.u.
**Mass density**: 6.18 g/cm³
**N(E_F)**: 1.713 states/eV/atom
**DFT total energy**: -8.48 eV per atom
**E_form**: 0.01 eV per atom

a b c (Å): 3.6257 3.6257 9.5172
angles (deg): 90.00 90.00 90.00
Fractional coordinates of all 4 atoms:
Sr (0.0000, 0.0000, 0.0000)
Gd (0.5000, 0.5000, 0.3308)
Gd (0.5000, 0.5000, 0.6692)
Cu (0.0000, 0.0000, 0.5000)

=====

12.
Below is crystalline SrGdCu4 at its relaxed geometry, with properties calculated at the PBE level.

Calculated values
**Total moment**: 7.423 μB/f.u.
**Mass density**: 7.46 g/cm³
**N(E_F)**: 1.069 states/eV/atom
**DFT total energy**: -5.36 eV per atom
**E_form**: 0.00 eV per atom

a b c (Å): 5.3963 5.3963 5.3963
angles (deg): 60.00 60.00 60.00
Fractional coordinates of all 6 atoms:
Sr (0.0000, 0.0000, 0.0000)
Gd (0.7500, 0.7500, 0.7500)
Cu (0.3757, 0.3757, 0.3757)
Cu (0.3757, 0.3757, 0.8729)
Cu (0.3757, 0.8729, 0.3757)
Cu (0.8729, 0.3757, 0.3757)